A relaxed MnTlZn2Cl8 crystal, computed with PBE.

Cell: 6.1955 6.1955 10.4728 Å, 72.80 72.80 60.00°
Sites, in units of the cell vectors:
Cl 0.9353 0.6475 0.1436
Cl 0.8140 0.8140 0.5580
Cl 0.1860 0.1860 0.4420
Cl 0.6475 0.2737 0.1436
Cl 0.2737 0.9353 0.1436
Cl 0.3525 0.7263 0.8564
Cl 0.0647 0.3525 0.8564
Cl 0.7263 0.0647 0.8564
Tl 0.5000 0.5000 0.5000
Zn 0.7386 0.7386 0.7843
Zn 0.2614 0.2614 0.2157
Mn 0.0000 0.0000 0.0000

## Properties
Space group: R-3, No. 148
Calculated volume in Å³ per atom: 27.267
Formation energy (no corrections) in eV per atom: -1.005
Magnetization in μB per formula unit: 4.000

***

A relaxed Mn2TlZnCl8 crystal, computed with PBE.

Cell: 6.2990 6.0524 7.7378 Å, 90.00 90.00 88.31°
Sites, in units of the cell vectors:
Tl 0.0000 0.0000 0.5000
Zn 0.0000 0.0000 0.0000
Cl 0.8210 0.2314 0.7818
Cl 0.6693 0.7208 0.0000
Cl 0.3466 0.3012 0.5000
Cl 0.1790 0.7686 0.7818
Cl 0.8210 0.2314 0.2182
Cl 0.3307 0.2792 0.0000
Cl 0.1790 0.7686 0.2182
Cl 0.6534 0.6988 0.5000
Mn 0.5000 0.5000 0.7617
Mn 0.5000 0.5000 0.2383

## Properties
Space group: P2/m, No. 10
Calculated volume in Å³ per atom: 24.572
Formation energy (no corrections) in eV per atom: -0.932
Magnetization in μB per formula unit: 9.310

***

A relaxed TmMnCl5 crystal, computed with PBE.

Cell: 7.1253 7.1253 10.0685 Å, 111.07 111.07 88.63°
Sites, in units of the cell vectors:
Tm 0.5000 0.5000 0.5000
Tm 0.0000 0.0000 0.0000
Mn 0.1308 0.3692 0.7500
Mn 0.8692 0.6308 0.2500
Cl 0.1736 0.6843 0.4633
Cl 0.8313 0.9005 0.1606
Cl 0.3178 0.1822 0.2500
Cl 0.4005 0.3313 0.6606
Cl 0.8157 0.3264 0.0367
Cl 0.8264 0.3157 0.5367
Cl 0.5995 0.6687 0.3394
Cl 0.1843 0.6736 0.9633
Cl 0.1687 0.0995 0.8394
Cl 0.6822 0.8178 0.7500

## Properties
Space group: C2/c, No. 15
Calculated volume in Å³ per atom: 31.561
Formation energy (no corrections) in eV per atom: -1.734
Magnetization in μB per formula unit: 5.000

***

The lowest magnetization belongs to which entry? MnTlZn2Cl8

***

Copy entry 3 word for word.
A relaxed TmMnCl5 crystal, computed with PBE.

Cell: 7.1253 7.1253 10.0685 Å, 111.07 111.07 88.63°
Sites, in units of the cell vectors:
Tm 0.5000 0.5000 0.5000
Tm 0.0000 0.0000 0.0000
Mn 0.1308 0.3692 0.7500
Mn 0.8692 0.6308 0.2500
Cl 0.1736 0.6843 0.4633
Cl 0.8313 0.9005 0.1606
Cl 0.3178 0.1822 0.2500
Cl 0.4005 0.3313 0.6606
Cl 0.8157 0.3264 0.0367
Cl 0.8264 0.3157 0.5367
Cl 0.5995 0.6687 0.3394
Cl 0.1843 0.6736 0.9633
Cl 0.1687 0.0995 0.8394
Cl 0.6822 0.8178 0.7500

## Properties
Space group: C2/c, No. 15
Calculated volume in Å³ per atom: 31.561
Formation energy (no corrections) in eV per atom: -1.734
Magnetization in μB per formula unit: 5.000

***

Among the records above, which one has the highest formation energy (no corrections)? Mn2TlZnCl8

***

Among the records above, which one has the highest magnetization? Mn2TlZnCl8